Entry 1:
# Li2SbPb (PBE, relaxed)
data_Li2SbPb
_chemical_formula_sum 'Li8 Sb4 Pb4'
_symmetry_space_group_name_H-M 'F m -3 m'
_symmetry_Int_Tables_number 225
_symmetry_space_group_name_Hall '-F 4 2 3'
_cell_length_a 7.0706
_cell_length_b 7.0706
_cell_length_c 7.0706
_cell_angle_alpha 90.00
_cell_angle_beta 90.00
_cell_angle_gamma 90.00
loop_
_atom_site_label
_atom_site_type_symbol
_atom_site_fract_x
_atom_site_fract_y
_atom_site_fract_z
Li1 Li 0.2500 0.2500 0.2500
Sb1 Sb 0.0000 0.0000 0.0000
Pb1 Pb 0.0000 0.0000 0.5000
# V = 353.5 Å³ per cell
# ΔE_f (raw) = -0.3449 eV per atom
# Energy above the lowest structure with this stoichiometry = 2.3 kJ/mol of atoms
# M_tot = 0.00 μB/f.u.
# D(E_F) = 0.526 states/eV/atom

Entry 2:
# Nd6Si3C (PBE, relaxed)
data_Nd6Si3C
_chemical_formula_sum 'Nd36 Si18 C6'
_symmetry_space_group_name_H-M 'R -3'
_symmetry_Int_Tables_number 148
_symmetry_space_group_name_Hall '-R 3'
_cell_length_a 12.5370
_cell_length_b 12.5370
_cell_length_c 12.7598
_cell_angle_alpha 90.00
_cell_angle_beta 90.00
_cell_angle_gamma 120.00
loop_
_atom_site_label
_atom_site_type_symbol
_atom_site_fract_x
_atom_site_fract_y
_atom_site_fract_z
Nd1 Nd 0.0330 0.1930 0.3988
Nd2 Nd 0.0362 0.1921 0.8885
Si1 Si 0.0517 0.2746 0.6689
C1 C 0.0000 0.0000 0.0000
C2 C 0.0000 0.0000 0.5000
# V = 1736.9 Å³ per cell
# ΔE_f (raw) = -0.3381 eV per atom
# M_tot = 0.00 μB/f.u.
# D(E_F) = 0.489 states/eV/atom

Entry 3:
# Cr2ReSb (PBE, relaxed)
data_Cr2ReSb
_chemical_formula_sum 'Cr4 Re2 Sb2'
_symmetry_space_group_name_H-M 'C m m m'
_symmetry_Int_Tables_number 65
_symmetry_space_group_name_Hall '-C 2 2'
_cell_length_a 5.5609
_cell_length_b 7.3296
_cell_length_c 2.9785
_cell_angle_alpha 90.00
_cell_angle_beta 90.00
_cell_angle_gamma 90.00
loop_
_atom_site_label
_atom_site_type_symbol
_atom_site_fract_x
_atom_site_fract_y
_atom_site_fract_z
Cr1 Cr 0.2500 0.2500 0.0000
Re1 Re 0.0000 0.0000 0.5000
Sb1 Sb 0.0000 0.5000 0.5000
# V = 121.4 Å³ per cell
# ΔE_f (raw) = 0.4025 eV per atom
# M_tot = 3.43 μB/f.u.
# D(E_F) = 0.912 states/eV/atom

Entry 4:
# MnV2Cu (PBE, relaxed)
data_MnV2Cu
_chemical_formula_sum 'Mn4 V8 Cu4'
_symmetry_space_group_name_H-M 'I -4 2 d'
_symmetry_Int_Tables_number 122
_symmetry_space_group_name_Hall 'I -4 2bw'
_cell_length_a 6.4860
_cell_length_b 6.4860
_cell_length_c 5.0153
_cell_angle_alpha 90.00
_cell_angle_beta 90.00
_cell_angle_gamma 90.00
loop_
_atom_site_label
_atom_site_type_symbol
_atom_site_fract_x
_atom_site_fract_y
_atom_site_fract_z
Mn1 Mn 0.0000 0.0000 0.0000
V1 V 0.2264 0.2500 0.1250
Cu1 Cu 0.0000 0.0000 0.5000
# Calculated formation energy = 0.47 eV per atom
# V = 211.0 Å³ per cell
# M_tot = 0.00 μB/f.u.
# D(E_F) = 1.152 states/eV/atom

Entry 5:
# NaTa3O (PBE, relaxed)
data_NaTa3O
_chemical_formula_sum 'Na1 Ta3 O1'
_symmetry_space_group_name_H-M 'P m -3 m'
_symmetry_Int_Tables_number 221
_symmetry_space_group_name_Hall '-P 4 2 3'
_cell_length_a 4.6391
_cell_length_b 4.6391
_cell_length_c 4.6391
_cell_angle_alpha 90.00
_cell_angle_beta 90.00
_cell_angle_gamma 90.00
loop_
_atom_site_label
_atom_site_type_symbol
_atom_site_fract_x
_atom_site_fract_y
_atom_site_fract_z
Na1 Na 0.0000 0.0000 0.0000
Ta1 Ta 0.0000 0.0000 0.5000
O1 O 0.5000 0.5000 0.5000
# V = 99.8 Å³ per cell
# ΔE_f (raw) = 2.8511 eV per atom
# Energy above the lowest structure with this stoichiometry = 272.3 kJ/mol of atoms
# M_tot = 0.00 μB/f.u.
# D(E_F) = 0.462 states/eV/atom

Entry 6:
# La2ScBi4 (PBE, relaxed)
data_La2ScBi4
_chemical_formula_sum 'La4 Sc2 Bi8'
_symmetry_space_group_name_H-M 'I 4/m m m'
_symmetry_Int_Tables_number 139
_symmetry_space_group_name_Hall '-I 4 2'
_cell_length_a 5.6131
_cell_length_b 5.6131
_cell_length_c 16.1179
_cell_angle_alpha 90.00
_cell_angle_beta 90.00
_cell_angle_gamma 90.00
loop_
_atom_site_label
_atom_site_type_symbol
_atom_site_fract_x
_atom_site_fract_y
_atom_site_fract_z
La1 La 0.0000 0.0000 0.1198
Sc1 Sc 0.0000 0.0000 0.5000
Bi1 Bi 0.0000 0.0000 0.3180
Bi2 Bi 0.0000 0.5000 0.0000
# Calculated formation energy = -0.48 eV per atom
# V = 507.8 Å³ per cell
# M_tot = 0.00 μB/f.u.
# D(E_F) = 0.876 states/eV/atom

Entry 7:
# CePmBi6 (PBE, relaxed)
data_CePmBi6
_chemical_formula_sum 'Ce2 Pm2 Bi12'
_symmetry_space_group_name_H-M 'A m m 2'
_symmetry_Int_Tables_number 38
_cell_length_a 4.6377
_cell_length_b 4.7049
_cell_length_c 23.4305
_cell_angle_alpha 90.00
_cell_angle_beta 90.00
_cell_angle_gamma 90.00
loop_
_symmetry_equiv_pos_as_xyz
'x,y,z'
'-x,-y,z'
'-x,y,z'
'x,-y,z'
'x,y+1/2,z+1/2'
'-x,-y+1/2,z+1/2'
'-x,y+1/2,z+1/2'
'x,-y+1/2,z+1/2'
loop_
_atom_site_label
_atom_site_type_symbol
_atom_site_fract_x
_atom_site_fract_y
_atom_site_fract_z
Ce1 Ce 0.0000 0.0000 0.0000
Pm1 Pm 0.5000 0.0000 0.6492
Bi1 Bi 0.0000 0.0000 0.1377
Bi2 Bi 0.0000 0.0000 0.3895
Bi3 Bi 0.0000 0.0000 0.7570
Bi4 Bi 0.5000 0.0000 0.2678
Bi5 Bi 0.5000 0.0000 0.5115
Bi6 Bi 0.5000 0.0000 0.8891
# Calculated formation energy = -0.36 eV per atom
# V = 511.3 Å³ per cell
# M_tot = 0.82 μB/f.u.
# D(E_F) = 1.069 states/eV/atom

Entry 8:
# Y3ZrCd12 (PBE, relaxed)
data_Y3ZrCd12
_chemical_formula_sum 'Y3 Zr1 Cd12'
_symmetry_space_group_name_H-M 'P 4/m m m'
_symmetry_Int_Tables_number 123
_symmetry_space_group_name_Hall '-P 4 2'
_cell_length_a 4.4900
_cell_length_b 4.4900
_cell_length_c 18.6818
_cell_angle_alpha 90.00
_cell_angle_beta 90.00
_cell_angle_gamma 90.00
loop_
_atom_site_label
_atom_site_type_symbol
_atom_site_fract_x
_atom_site_fract_y
_atom_site_fract_z
Y1 Y 0.0000 0.0000 0.0000
Y2 Y 0.0000 0.0000 0.2557
Zr1 Zr 0.0000 0.0000 0.5000
Cd1 Cd 0.0000 0.5000 0.1281
Cd2 Cd 0.0000 0.5000 0.3826
Cd3 Cd 0.5000 0.5000 0.0000
Cd4 Cd 0.5000 0.5000 0.2565
Cd5 Cd 0.5000 0.5000 0.5000
# Calculated formation energy = -0.22 eV per atom
# V = 376.6 Å³ per cell
# M_tot = 0.00 μB/f.u.
# D(E_F) = 0.805 states/eV/atom